No. 1
Computed, not measured: VOs3N after structural relaxation at the PBE-GGA level of DFT.

```
data_VOs3N
_cell_length_a 4.4903
_cell_length_b 4.4903
_cell_length_c 4.4903
_cell_angle_alpha 90.00
_cell_angle_beta 90.00
_cell_angle_gamma 90.00
_symmetry_space_group_name_H-M 'P m -3 m'
_symmetry_Int_Tables_number 221
_symmetry_space_group_name_Hall '-P 4 2 3'
loop_
_atom_site_label
_atom_site_fract_x
_atom_site_fract_y
_atom_site_fract_z
V1 0.0000 0.0000 0.0000
Os1 0.0000 0.0000 0.5000
N1 0.5000 0.5000 0.5000
```

- Raw formation energy: 3044 meV per atom
- DOS at the Fermi energy: 8.43 states/eV per cell
- Distance to the lowest polymorph of the same formula: 2601 meV/atom

***

No. 2
Computed, not measured: AcPrNO after structural relaxation at the PBE-GGA level of DFT.

```
data_AcPrNO
_cell_length_a 3.7402
_cell_length_b 3.7402
_cell_length_c 5.3329
_cell_angle_alpha 90.00
_cell_angle_beta 90.00
_cell_angle_gamma 90.00
_symmetry_space_group_name_H-M 'P 4/m m m'
_symmetry_Int_Tables_number 123
_symmetry_space_group_name_Hall '-P 4 2'
loop_
_atom_site_label
_atom_site_fract_x
_atom_site_fract_y
_atom_site_fract_z
Ac1 0.0000 0.0000 0.0000
Pr1 0.5000 0.5000 0.5000
N1 0.0000 0.0000 0.5000
O1 0.5000 0.5000 0.0000
```

- Raw formation energy: -1971 meV per atom
- DOS at the Fermi energy: 0.78 states/eV per cell